Ni2Ir at its PBEsol-relaxed geometry, computed with SCAN.

Computed properties:
Energy above the most stable polymorph in this dataset in meV/atom: 0
DFT formation energy in eV/atom: 0.017
VASP energy in eV/atom: -34.465

Structure (extended XYZ):
```
3
Lattice="2.597 0.000 0.000 0.000 3.567 0.000 -1.298 -1.784 3.806" Properties=species:S:1:pos:R:3 pbc="T T T"
Ni 1.298 1.784 1.270
Ni 0.000 0.000 2.536
Ir 0.000 0.000 0.000
```